Density functional theory data (PBE) for a relaxed structure of ScFe2Os.

Summary:
mass density	10.285	g/cm3
ΔH_f (0 K)	0.0128	eV per atom
crystal system	cubic
space-group type	No. 225

Unit cell a=4.2944 b=4.2944 c=4.2944 alpha=60.00 beta=60.00 gamma=60.00
Last column: nearest neighbours and their distance in Å.
Fractional coordinates of all 4 atoms:
Sc 0.0000 0.0000 0.0000  8 Fe 2.63
Fe 0.2500 0.2500 0.2500  4 Os 2.63, 4 Sc 2.63
Fe 0.7500 0.7500 0.7500  4 Os 2.63, 4 Sc 2.63
Os 0.5000 0.5000 0.5000  8 Fe 2.63